# ZrPtAu (GGA-PBEsol, relaxed)
# distance to the lowest polymorph of the same formula = 118.4 kJ/mol of formula units
# D(E_F) = 10.6 states/eV per cell
# crystal system = cubic
data_ZrPtAu
_space_group_name_H-M_alt 'F -4 3 m'
_space_group_IT_number 216
_space_group_name_Hall 'F -4 2 3'
_cell_length_a 6.270
_cell_length_b 6.270
_cell_length_c 6.270
_cell_angle_alpha 90.00
_cell_angle_beta 90.00
_cell_angle_gamma 90.00
loop_
_atom_site_label
_atom_site_type_symbol
_atom_site_fract_x
_atom_site_fract_y
_atom_site_fract_z
_atom_site_occupancy
Zr1 Zr 0.000 0.000 0.000 1
Pt1 Pt 0.250 0.250 0.750 1
Au1 Au 0.000 0.000 0.500 1